ZrP2BrO: relaxed, PBE.

Cell: 4.8288 4.8288 3.8224 Å, 90.00 90.00 90.00°
With the nearest neighbours (Å) after each atom.
Element x y z (fractional)
O (0.0000, 0.0000, 0.5000)  2 Br 1.91
P (0.0000, 0.5000, 0.0000)  2 Br 2.41
P (0.5000, 0.0000, 0.0000)  2 Br 2.41
Br (0.0000, 0.0000, 0.0000)  2 O 1.91
Zr (0.5000, 0.5000, 0.5000)  8 P 3.08, 4 O 3.41

Calculated values
Formation energy without anion corrections (eV/f.u.): 2.96
Calculated volume (Å³ per cell): 89.1
DOS at the Fermi energy (states/eV/cell): 3.6
M_tot (μB/cell): 0.00
E above lowest polymorph (eV/atom): 0.870

ZrPBrO2: relaxed, PBE.

Cell: 3.9764 3.9764 5.0168 Å, 90.00 90.00 90.00°
With the nearest neighbours (Å) after each atom.
Element x y z (fractional)
O (0.0000, 0.5000, 0.0000)  2 Br 1.99
O (0.5000, 0.0000, 0.0000)  2 Br 1.99
P (0.0000, 0.0000, 0.5000)  2 Br 2.51
Br (0.0000, 0.0000, 0.0000)  4 O 1.99
Zr (0.5000, 0.5000, 0.5000)  4 P 2.81

Calculated values
Formation energy without anion corrections (eV/f.u.): 1.01
Calculated volume (Å³ per cell): 79.3
DOS at the Fermi energy (states/eV/cell): 2.3
M_tot (μB/cell): 0.10
E above lowest polymorph (eV/atom): 1.387